No. 1
Below is crystalline CeTh4Fe2 at its relaxed geometry, with properties calculated at the PBE level.

Values from the calculation:
Density of states at the Fermi level ... 10.25 states/eV/f.u.
Formation enthalpy at 0 K ... -0.0266 eV per atom
Calculated volume ... 25.93 Å³ per atom
Space group ... P-1 (2)
Energy ... -7.53 eV/atom

a b c (Å): 5.9820 6.9934 8.7612
angles (deg): 82.11 90.20 89.35
Fractional positions:
Th: 0.6602 0.5157 0.1918
Th: 0.8292 0.7563 0.7462
Th: 0.1708 0.2437 0.2538
Th: 0.6598 0.9818 0.3206
Th: 0.8307 0.3216 0.5745
Th: 0.3402 0.0182 0.6794
Th: 0.3398 0.4843 0.8082
Th: 0.1693 0.6784 0.4255
Ce: 0.1822 0.8252 0.0513
Ce: 0.8178 0.1748 0.9487
Fe: 0.5291 0.8221 0.9751
Fe: 0.4709 0.1779 0.0249
Fe: 0.4160 0.3210 0.4804
Fe: 0.5840 0.6790 0.5196

---

No. 2
Below is crystalline CeThZnFe at its relaxed geometry, with properties calculated at the PBE level.

Values from the calculation:
Density of states at the Fermi level ... 6.45 states/eV/f.u.
Formation enthalpy at 0 K ... 0.0175 eV per atom
Calculated volume ... 22.18 Å³ per atom
Space group ... F-43m (216)
Energy ... -5.76 eV/atom

a b c (Å): 5.0062 5.0062 5.0062
angles (deg): 60.00 60.00 60.00
Last column: magnetic moment on the atom in μB.
Fractional positions:
Zn: 0.0000 0.0000 0.0000  -0.01
Ce: 0.7500 0.7500 0.7500  -0.64
Th: 0.2500 0.2500 0.2500  -0.25
Fe: 0.5000 0.5000 0.5000  1.50

---

No. 3
Below is crystalline CeTi2Fe at its relaxed geometry, with properties calculated at the PBE level.

Values from the calculation:
Density of states at the Fermi level ... 5.84 states/eV/f.u.
Formation enthalpy at 0 K ... -0.0722 eV per atom
Energy above the most stable polymorph in this dataset ... 0.0 kJ/mol of atoms
Calculated volume ... 17.34 Å³ per atom
Space group ... P4/mmm (123)
Energy ... -7.62 eV/atom

a b c (Å): 3.0059 3.0059 7.6784
angles (deg): 90.00 90.00 90.00
Last column: magnetic moment on the atom in μB.
Fractional positions:
Fe: 0.5000 0.5000 0.0000  0.34
Ce: 0.5000 0.5000 0.5000  0.11
Ti: 0.0000 0.0000 0.8148  -0.05
Ti: 0.0000 0.0000 0.1852  -0.05

---

No. 4
Below is crystalline CeTiFe at its relaxed geometry, with properties calculated at the PBE level.

Values from the calculation:
Density of states at the Fermi level ... 4.03 states/eV/f.u.
Formation enthalpy at 0 K ... 0.0410 eV per atom
Calculated volume ... 18.58 Å³ per atom
Space group ... P1 (1)
Energy ... -7.39 eV/atom

a b c (Å): 6.3210 6.5955 6.2978
angles (deg): 65.46 69.06 80.37
Fractional positions:
Ti: 0.1756 0.1976 0.3342
Ti: 0.1793 0.2516 0.8418
Ti: 0.7022 0.2428 0.1717
Ti: 0.3574 0.8706 0.6780
Fe: 0.0386 0.5138 0.0489
Fe: 0.4681 0.4716 0.8848
Fe: 0.4835 0.9981 0.1009
Fe: 0.9507 0.9903 0.8934
Ce: 0.8173 0.7413 0.7975
Ce: 0.8210 0.7373 0.3474
Ce: 0.7030 0.3015 0.6302
Ce: 0.3107 0.6835 0.2712

---

No. 5
Below is crystalline CeTi2Fe9 at its relaxed geometry, with properties calculated at the PBE level.

Values from the calculation:
Density of states at the Fermi level ... 12.46 states/eV/f.u.
Formation enthalpy at 0 K ... -0.1566 eV per atom
Calculated volume ... 13.55 Å³ per atom
Space group ... R-3m (166)
Energy ... -8.31 eV/atom

a b c (Å): 4.8636 4.8636 8.4216
angles (deg): 73.22 73.22 60.00
Last column: magnetic moment on the atom in μB.
Fractional positions:
Ce: 0.0000 0.0000 0.0000  -0.52
Ti: 0.8549 0.8549 0.4354  -0.77
Ti: 0.1451 0.1451 0.5646  -0.77
Fe: 0.6669 0.6669 0.9994  2.18
Fe: 0.3331 0.3331 0.0006  2.18
Fe: 0.5000 0.5000 0.5000  1.69
Fe: 0.4104 0.4104 0.2626  1.97
Fe: 0.9165 0.4104 0.2626  1.97
Fe: 0.4104 0.9165 0.2626  1.97
Fe: 0.5896 0.5896 0.7373  1.97
Fe: 0.5896 0.0835 0.7373  1.97
Fe: 0.0835 0.5896 0.7373  1.97

---

No. 6
Below is crystalline CeTi2Fe at its relaxed geometry, with properties calculated at the PBE level.

Values from the calculation:
Density of states at the Fermi level ... 5.55 states/eV/f.u.
Formation enthalpy at 0 K ... 0.1494 eV per atom
Energy above the most stable polymorph in this dataset ... 21.4 kJ/mol of atoms
Calculated volume ... 17.17 Å³ per atom
Space group ... R-3m (166)
Energy ... -7.40 eV/atom

a b c (Å): 2.9187 2.9187 9.4608
angles (deg): 81.13 81.13 60.00
Last column: magnetic moment on the atom in μB.
Fractional positions:
Fe: 0.5000 0.5000 0.5000  0.95
Ce: 0.0000 0.0000 0.0000  0.01
Ti: 0.1015 0.1015 0.6956  -0.20
Ti: 0.8985 0.8985 0.3044  -0.20

---

No. 7
Below is crystalline Ce8TlFe2 at its relaxed geometry, with properties calculated at the PBE level.

Values from the calculation:
Density of states at the Fermi level ... 29.73 states/eV/f.u.
Formation enthalpy at 0 K ... -0.0232 eV per atom
Calculated volume ... 25.61 Å³ per atom
Space group ... C2/m (12)
Energy ... -6.09 eV/atom

a b c (Å): 4.6665 8.6903 8.2282
angles (deg): 58.12 86.77 83.88
Last column: magnetic moment on the atom in μB.
Fractional positions:
Ce: 0.9763 0.0627 0.2589  0.37
Ce: 0.9763 0.3216 0.7411  0.37
Ce: 0.2420 0.3954 0.0000  0.20
Ce: 0.5000 0.7257 0.5486  0.12
Ce: 0.5000 0.2743 0.4514  0.12
Ce: 0.7580 0.6046 0.0000  0.20
Ce: 0.0237 0.6784 0.2589  0.37
Ce: 0.0237 0.9373 0.7411  0.37
Tl: 0.5000 0.0000 0.0000  -0.01
Fe: 0.0000 0.3039 0.3923  -0.09
Fe: 0.0000 0.6961 0.6077  -0.09

---

No. 8
Below is crystalline Ce4TlFe at its relaxed geometry, with properties calculated at the PBE level.

Values from the calculation:
Density of states at the Fermi level ... 15.78 states/eV/f.u.
Formation enthalpy at 0 K ... -0.0679 eV per atom
Energy above the most stable polymorph in this dataset ... 1.7 kJ/mol of atoms
Calculated volume ... 25.45 Å³ per atom
Space group ... C2/c (15)
Energy ... -5.83 eV/atom

a b c (Å): 7.2113 7.2109 9.2016
angles (deg): 119.27 119.27 100.09
Last column: magnetic moment on the atom in μB.
Fractional positions:
Ce: 0.0107 0.7489 0.5096  0.41
Ce: 0.2511 0.9892 0.9904  0.41
Ce: 0.3528 0.5716 0.3873  0.73
Ce: 0.4284 0.6472 0.1128  0.73
Ce: 0.9893 0.2511 0.4904  0.41
Ce: 0.6472 0.4284 0.6127  0.73
Ce: 0.7489 0.0108 0.0096  0.41
Ce: 0.5716 0.3528 0.8872  0.73
Tl: 0.8686 0.1314 0.7500  -0.01
Tl: 0.1314 0.8686 0.2500  -0.01
Fe: 0.3678 0.6322 0.7500  -0.25
Fe: 0.6322 0.3678 0.2500  -0.25

---

No. 9
Below is crystalline Ce2TlFe at its relaxed geometry, with properties calculated at the PBE level.

Values from the calculation:
Density of states at the Fermi level ... 5.85 states/eV/f.u.
Formation enthalpy at 0 K ... -0.0662 eV per atom
Energy above the most stable polymorph in this dataset ... 2.8 kJ/mol of atoms
Calculated volume ... 23.10 Å³ per atom
Space group ... Ima2 (46)
Energy ... -5.74 eV/atom

a b c (Å): 6.8216 5.0235 10.7864
angles (deg): 90.00 90.00 90.00
Last column: magnetic moment on the atom in μB.
Fractional positions:
Ce: 0.2037 0.5002 0.9454  0.33
Ce: 0.7037 0.4998 0.0546  0.33
Ce: 0.7037 0.9998 0.4454  0.33
Ce: 0.2037 0.0002 0.5546  0.33
Ce: 0.4533 0.9998 0.8552  0.43
Ce: 0.9533 0.0002 0.1448  0.43
Ce: 0.9533 0.5002 0.3552  0.43
Ce: 0.4533 0.4998 0.6448  0.43
Tl: 0.9351 0.0002 0.8436  0.00
Tl: 0.4351 0.9998 0.1564  0.00
Tl: 0.4351 0.4998 0.3436  0.00
Tl: 0.9351 0.5002 0.6564  0.00
Fe: 0.1577 0.0004 0.3530  -0.22
Fe: 0.6577 0.9996 0.6470  -0.22
Fe: 0.6577 0.4996 0.8530  -0.22
Fe: 0.1577 0.5004 0.1470  -0.22

---

No. 10
Below is crystalline Ce6Tl2Fe at its relaxed geometry, with properties calculated at the PBE level.

Values from the calculation:
Density of states at the Fermi level ... 22.60 states/eV/f.u.
Formation enthalpy at 0 K ... -0.1718 eV per atom
Calculated volume ... 26.29 Å³ per atom
Space group ... Immm (71)
Energy ... -5.59 eV/atom

a b c (Å): 6.8372 6.8351 12.2198
angles (deg): 55.97 90.00 90.00
Last column: magnetic moment on the atom in μB.
Fractional positions:
Ce: 0.9997 0.2670 0.7325  0.28
Ce: 0.7196 0.7828 0.4998  0.43
Ce: 0.7798 0.2165 0.0001  0.43
Ce: 0.2798 0.7835 0.4999  0.43
Ce: 0.2196 0.2172 0.0002  0.43
Ce: 0.4997 0.7330 0.7675  0.28
Ce: 0.0003 0.7330 0.2675  0.28
Ce: 0.2804 0.2172 0.5002  0.43
Ce: 0.2202 0.7835 0.9999  0.43
Ce: 0.7202 0.2165 0.5001  0.43
Ce: 0.7804 0.7828 0.9998  0.43
Ce: 0.5003 0.2670 0.2325  0.28
Tl: 0.5002 0.7482 0.2513  -0.01
Tl: 0.0002 0.2518 0.2487  -0.01
Tl: 0.9998 0.7482 0.7513  -0.01
Tl: 0.4998 0.2518 0.7487  -0.01
Fe: 0.5000 0.5000 0.0000  -0.11
Fe: 0.0000 0.5000 0.5000  -0.11

---

No. 11
Below is crystalline Ce4TlFe at its relaxed geometry, with properties calculated at the PBE level.

Values from the calculation:
Density of states at the Fermi level ... 13.62 states/eV/f.u.
Formation enthalpy at 0 K ... -0.0856 eV per atom
Energy above the most stable polymorph in this dataset ... 0.0 kJ/mol of atoms
Calculated volume ... 25.18 Å³ per atom
Space group ... C2/c (15)
Energy ... -5.85 eV/atom

a b c (Å): 5.8638 7.8764 8.0922
angles (deg): 110.31 100.07 112.65
Last column: magnetic moment on the atom in μB.
Fractional positions:
Ce: 0.0331 0.1787 0.8433  0.14
Ce: 0.8072 0.7479 0.6229  0.33
Ce: 0.3102 0.6646 0.8433  0.14
Ce: 0.3157 0.8750 0.6229  0.33
Ce: 0.6843 0.1250 0.3771  0.33
Ce: 0.6898 0.3354 0.1567  0.14
Ce: 0.1928 0.2521 0.3771  0.33
Ce: 0.9669 0.8213 0.1567  0.14
Tl: 0.3643 0.6143 0.2286  0.01
Tl: 0.6357 0.3857 0.7714  0.01
Fe: 0.2659 0.0159 0.0318  -0.06
Fe: 0.7341 0.9841 0.9682  -0.06